Below is Hf2CuHg after structural relaxation, with properties calculated at the PBE level.

Cell and atoms, written as CIF:
```
data_Hf2CuHg
_chemical_formula_sum 'Hf8 Cu4 Hg4'
_space_group_name_H-M_alt 'F -4 3 m'
_space_group_IT_number 216
_space_group_name_Hall 'F -4 2 3'
_cell_length_a 6.788
_cell_length_b 6.788
_cell_length_c 6.788
_cell_angle_alpha 90.00
_cell_angle_beta 90.00
_cell_angle_gamma 90.00
loop_
_atom_site_label
_atom_site_type_symbol
_atom_site_fract_x
_atom_site_fract_y
_atom_site_fract_z
Hf1 Hf 0.000 0.000 0.000
Hf2 Hf 0.250 0.250 0.250
Cu1 Cu 0.000 0.000 0.500
Hg1 Hg 0.250 0.250 0.750
```

Computed properties:
For the magnetic moment, the calculation gives 2.7 μB per formula unit. As for the uncorrected energy: -5.631 eV/atom. The energy of formation from the pure elements comes out at 0.35 eV/atom.